No. 1
Compound: ZnSbPb2
Source: Alexandria via LeMat-Bulk
Functional: PBE-GGA
Structure: optimized geometry

Computed properties:
Crystal system: orthorhombic
Formation energy without anion corrections, meV/atom: 147.8
D(E_F), states/eV per atom: 0.50

Structure (POSCAR):
```
ZnSbPb2
1.0
3.403 0.222 0.000
-0.728 3.331 0.000
0.000 0.000 9.420
Pb Sb Zn
2 1 1
direct
0.000 0.000 0.971 Pb
0.000 0.000 0.529 Pb
0.500 0.500 0.250 Sb
0.500 0.500 0.750 Zn
```

---

No. 2
Compound: Li2MnP2
Source: Alexandria via LeMat-Bulk
Functional: PBE-GGA
Structure: optimized geometry

Computed properties:
Crystal system: tetragonal
D(E_F), states/eV per atom: 0.93
E_form, eV per atom: -0.48

Structure (POSCAR):
```
Li2MnP2
1.0
-4.760 -3.353 0.250
2.059 -2.564 4.811
-1.771 2.677 2.184
P Mn Li
4 2 4
direct
0.360 0.860 0.000 P
0.860 0.640 0.000 P
0.640 0.140 0.000 P
0.140 0.360 0.000 P
0.000 0.000 0.000 Mn
0.500 0.500 0.000 Mn
0.172 0.672 0.500 Li
0.672 0.828 0.500 Li
0.828 0.328 0.500 Li
0.328 0.172 0.500 Li
```

---

Q: The lowest D(E_F) belongs to which entry?
A: ZnSbPb2